# Al2CrTeO8

A geometry-optimized Al2CrTeO8 structure (PBE+U, Alexandria via LeMat-Bulk).

Output
E: -6.315 eV per atom
volume: 12.5 Å³/atom

Lattice parameters (Å, degrees): 5.5355 5.5355 5.6362 90.00 90.00 120.00
Sites, in units of the cell vectors:
Al: 0.3333 0.6667 0.3140
Al: 0.6667 0.3333 0.6860
Cr: 0.0000 0.0000 0.5000
Te: 0.0000 0.0000 0.0000
O: 0.1514 0.3028 0.2312
O: 0.1514 0.8486 0.2312
O: 0.3028 0.1514 0.7688
O: 0.3333 0.6667 0.6175
O: 0.6667 0.3333 0.3825
O: 0.6972 0.8486 0.2312
O: 0.8486 0.1514 0.7688
O: 0.8486 0.6972 0.7688